# CoN2F2 | the Alexandria database | PBE with a Hubbard U | optimized geometry
# Energy above the lowest structure with this stoichiometry: 10.572 eV/f.u.
# Density of states at the Fermi level: 0.79 states/eV/atom
data_CoN2F2
_space_group_name_H-M_alt 'P 4/m m m'
_space_group_IT_number 123
_space_group_name_Hall '-P 4 2'
_cell_length_a 3.672
_cell_length_b 3.672
_cell_length_c 3.743
_cell_angle_alpha 90.00
_cell_angle_beta 90.00
_cell_angle_gamma 90.00
loop_
_atom_site_label
_atom_site_fract_x
_atom_site_fract_y
_atom_site_fract_z
Co1 0.000 0.000 0.000
N1 0.000 0.500 0.000
F1 0.000 0.000 0.500
F2 0.500 0.500 0.500

# CoN2F2 | the Alexandria database | PBE with a Hubbard U | optimized geometry
# Energy above the lowest structure with this stoichiometry: 0.000 eV/f.u.
# Density of states at the Fermi level: 0.00 states/eV/atom
data_CoN2F2
_space_group_name_H-M_alt 'C 1 2/m 1'
_space_group_IT_number 12
_cell_length_a 5.626
_cell_length_b 3.236
_cell_length_c 8.587
_cell_angle_alpha 90.00
_cell_angle_beta 91.11
_cell_angle_gamma 90.00
loop_
_space_group_symop_operation_xyz
'x,y,z'
'-x,-y,-z'
'-x,y,-z'
'x,-y,z'
'x+1/2,y+1/2,z'
'-x+1/2,-y+1/2,-z'
'-x+1/2,y+1/2,-z'
'x+1/2,-y+1/2,z'
loop_
_atom_site_label
_atom_site_fract_x
_atom_site_fract_y
_atom_site_fract_z
Co1 0.000 0.000 0.000
N1 0.003 0.000 0.435
F1 0.170 0.500 0.108

# CoNF3 | the Alexandria database | PBE with a Hubbard U | optimized geometry
# Energy above the lowest structure with this stoichiometry: 5.565 eV/f.u.
# Density of states at the Fermi level: 1.91 states/eV/atom
data_CoNF3
_space_group_name_H-M_alt 'P m -3 m'
_space_group_IT_number 221
_space_group_name_Hall '-P 4 2 3'
_cell_length_a 3.841
_cell_length_b 3.841
_cell_length_c 3.841
_cell_angle_alpha 90.00
_cell_angle_beta 90.00
_cell_angle_gamma 90.00
loop_
_atom_site_label
_atom_site_fract_x
_atom_site_fract_y
_atom_site_fract_z
Co1 0.000 0.000 0.000
N1 0.500 0.500 0.500
F1 0.000 0.500 0.500

# NbCoN2F | the Alexandria database | PBE with a Hubbard U | optimized geometry
# Energy above the lowest structure with this stoichiometry: 2.023 eV/f.u.
# Density of states at the Fermi level: 0.48 states/eV/atom
data_NbCoN2F
_space_group_name_H-M_alt 'P 4/m m m'
_space_group_IT_number 123
_space_group_name_Hall '-P 4 2'
_cell_length_a 3.766
_cell_length_b 3.766
_cell_length_c 3.525
_cell_angle_alpha 90.00
_cell_angle_beta 90.00
_cell_angle_gamma 90.00
loop_
_atom_site_label
_atom_site_fract_x
_atom_site_fract_y
_atom_site_fract_z
Nb1 0.000 0.000 0.000
Co1 0.500 0.500 0.500
N1 0.000 0.500 0.500
F1 0.500 0.500 0.000